# Zr3Hg (PBE-GGA, relaxed)
# space-group type: Pmmn, No. 59
# DFT formation energy: -87 meV/atom
# total moment: 0.006 μB/f.u.
# V: 176.7 Å³/cell
data_Zr3Hg
_chemical_formula_sum 'Zr6 Hg2'
_space_group_name_H-M_alt 'P 1'
_space_group_IT_number 1
_space_group_name_Hall 'P 1'
_cell_length_a 5.2109
_cell_length_b 6.1117
_cell_length_c 5.5483
_cell_angle_alpha 90.00
_cell_angle_beta 90.00
_cell_angle_gamma 90.00
loop_
_atom_site_label
_atom_site_fract_x
_atom_site_fract_y
_atom_site_fract_z
Zr1 0.2500 0.0004 0.1455
Zr2 0.2500 0.2500 0.6441
Zr3 0.2500 0.4996 0.1455
Zr4 0.7500 0.9996 0.8545
Zr5 0.7500 0.5004 0.8545
Zr6 0.7500 0.7500 0.3559
Hg1 0.2500 0.7500 0.6576
Hg2 0.7500 0.2500 0.3424